No. 1
Density functional theory data (PBE) for BaTlS after structural relaxation.

Cell: 4.4342 4.4335 12.1938 Å, 90.00 90.00 120.01°
Last column: nearest neighbours and their distance in Å.
Fractional coordinates of all 6 atoms:
Ba 0.2776 0.5553 0.1597  3 S 3.22
Ba 0.2776 0.5553 0.8403  3 S 3.22
Tl 0.6112 0.2224 0.6280  3 S 3.00, 1 Tl 3.12
Tl 0.6112 0.2224 0.3720  3 S 3.00, 1 Tl 3.12
S 0.2779 0.5559 0.5000  6 Tl 3.00
S 0.6110 0.2219 0.0000  6 Ba 3.22

Output
**Total magnetization**: 0.12 μB per atom
**Formation energy from raw total energies**: -0.789 eV per atom


No. 2
Density functional theory data (PBE) for Ba4TlS5 after structural relaxation.

Cell: 6.3882 7.8280 7.8280 Å, 80.42 65.92 65.92°
Last column: nearest neighbours and their distance in Å.
Fractional coordinates of all 10 atoms:
S 0.7024 0.2000 0.3979  5 Ba 3.18-3.23, 1 Tl 3.19
S 0.3002 0.8000 0.6021  5 Ba 3.18-3.23, 1 Tl 3.19
S 0.4684 0.0000 0.0000  1 Tl 2.81
S 0.9024 0.3979 0.8000  5 Ba 3.18-3.23, 1 Tl 3.19
S 0.1002 0.6021 0.2000  5 Ba 3.18-3.23, 1 Tl 3.19
Ba 0.8011 0.8033 0.5989  6 S 3.18-3.23
Ba 0.2033 0.1967 0.4011  6 S 3.18-3.23
Ba 0.4000 0.4011 0.8033  6 S 3.18-3.23
Ba 0.6044 0.5989 0.1967  6 S 3.18-3.23
Tl 0.0279 0.0000 0.0000  1 S 2.81

Output
**Total magnetization**: 0.00 μB per atom
**Formation energy from raw total energies**: -1.658 eV per atom